(1)
Compound: YRu3C
Source: Alexandria
Functional: PBE-GGA
Structure: optimized geometry

abc: 5.898 5.898 8.846
angles: 90.00 90.00 148.68
Atoms (fractional coordinates):
Y 0.047 0.953 0.750
Y 0.953 0.047 0.250
Ru 0.221 0.779 0.250
Ru 0.339 0.661 0.522
Ru 0.339 0.661 0.978
Ru 0.661 0.339 0.022
Ru 0.661 0.339 0.478
Ru 0.779 0.221 0.750
C 0.386 0.614 0.750
C 0.614 0.386 0.250

Output
**Calculated total energy**: -8.60 eV per atom
**ΔH_f (0 K)**: 0.099 eV per atom
**Crystal system**: orthorhombic
**Magnetic moment**: 0.000 μB/cell

(2)
Compound: Ir2RhCl
Source: Alexandria
Functional: PBE-GGA
Structure: optimized geometry

abc: 2.861 3.517 6.621
angles: 90.00 90.00 90.00
Atoms (fractional coordinates):
Ir 0.000 0.000 0.200
Ir 0.000 0.000 0.800
Rh 0.500 0.500 0.000
Cl 0.500 0.500 0.500

Output
**Calculated total energy**: -5.99 eV per atom
**Polymorph energy (0 for the lowest one)**: 366 meV per atom
**Crystal system**: orthorhombic
**Raw formation energy**: 735 meV/atom
**Magnetic moment**: 0.000 μB/cell

(3)
Compound: HfZr2H3
Source: Alexandria
Functional: PBE-GGA
Structure: optimized geometry

abc: 5.464 5.464 6.067
angles: 106.08 106.08 57.41
Atoms (fractional coordinates):
Hf 0.000 0.000 0.250
Hf 0.000 0.000 0.750
Zr 0.326 0.343 0.914
Zr 0.343 0.326 0.414
Zr 0.657 0.674 0.586
Zr 0.674 0.657 0.086
H 0.090 0.239 0.081
H 0.239 0.090 0.581
H 0.403 0.597 0.250
H 0.597 0.403 0.750
H 0.761 0.910 0.419
H 0.910 0.761 0.919

Output
**Calculated total energy**: -6.50 eV per atom
**Crystal system**: monoclinic
**Magnetic moment**: 0.000 μB/cell